(1)
Compound: KNaIn2
Source: Alexandria
Functional: meta-GGA SCAN
Structure: PBEsol geometry

Cell: 5.538 5.538 5.538 Å, 60.00 60.00 60.00°
Element x y z (fractional)
Na (0.000, 0.000, 0.000)
K (0.500, 0.500, 0.500)
In (0.250, 0.250, 0.250)
In (0.750, 0.750, 0.750)

Output
energy relative to the elements: -0.034 eV/atom



(2)
Compound: Sc2NiHg
Source: Alexandria
Functional: meta-GGA SCAN
Structure: PBEsol geometry

Cell: 4.570 4.570 4.570 Å, 60.00 60.00 60.00°
Element x y z (fractional)
Hg (0.500, 0.500, 0.500)
Ni (0.250, 0.250, 0.250)
Sc (0.000, 0.000, 0.000)
Sc (0.750, 0.750, 0.750)

Output
energy relative to the elements: -0.387 eV/atom



(3)
Compound: CaAlMo2
Source: Alexandria
Functional: meta-GGA SCAN
Structure: PBEsol geometry

Cell: 3.404 4.408 5.455 Å, 113.83 108.18 90.00°
Element x y z (fractional)
Mo (0.759, 0.759, 0.517)
Mo (0.241, 0.241, 0.483)
Ca (0.000, 0.500, 0.000)
Al (0.500, 0.000, 0.000)

Output
energy relative to the elements: 0.557 eV/atom